This record from Alexandria via LeMat-Bulk describes crystalline LiSmGe2Pt2 at its relaxed geometry. The functional is PBE-GGA.

```
LiSmGe2Pt2
1.0
4.362 0.000 0.000
-2.181 3.777 0.000
0.000 0.000 6.641
Li Sm Ge Pt
1 1 2 2
Cartesian
0.000 0.000 3.321
0.000 0.000 0.000
2.181 1.259 4.646
0.000 2.518 1.995
2.181 1.259 1.964
0.000 2.518 4.677
```

Results
mass density	10.5	g cm⁻³
energy relative to the elements	-5.31	eV/f.u.